The following is a GGA-PBE calculation of a relaxed structure of Pu2TaTi, from the Alexandria database.

The structure in POSCAR format:
```
Pu2TaTi
1.0
1.5456 0.8924 10.1643
-1.5456 0.8924 10.1643
0.0000 -1.7848 10.1643
Pu Ta Ti
2 1 1
direct
0.2492 0.2492 0.2492
0.7508 0.7508 0.7508
0.0000 0.0000 0.0000
0.5000 0.5000 0.5000
```

Output
energy of formation from the pure elements: 0.337 eV/atom
total magnetic moment: 2.494 μB/atom
energy above the most stable polymorph in this dataset: 0.00 eV per formula unit